## Li4Cr3FeO8 (GGA+U)

Data for an optimized crystal structure of Li4Cr3FeO8.

## Properties
E_tot, eV/atom: -6.613
Spin magnetization, μB/cell: 10.00

CIF file:
```
data_Li4Cr3FeO8
_symmetry_space_group_name_H-M 'P -1'
_symmetry_Int_Tables_number 2
_symmetry_space_group_name_Hall '-P 1'
_cell_length_a 5.107
_cell_length_b 5.126
_cell_length_c 5.899
_cell_angle_alpha 106.70
_cell_angle_beta 90.01
_cell_angle_gamma 99.56
loop_
_atom_site_label
_atom_site_type_symbol
_atom_site_fract_x
_atom_site_fract_y
_atom_site_fract_z
_atom_site_occupancy
Li1 Li 0.244 0.498 0.376 1
Li2 Li 0.251 0.495 0.872 1
Cr1 Cr 0.000 0.000 0.000 1
Cr2 Cr 0.500 0.000 0.252 1
Fe1 Fe 0.000 0.000 0.500 1
O1 O 0.127 0.776 0.198 1
O2 O 0.128 0.777 0.691 1
O3 O 0.366 0.224 0.556 1
O4 O 0.372 0.226 0.057 1
```